Entry from Alexandria via LeMat-Bulk: a relaxed structure of AcPmAl6 (PBE).

Unit cell a=4.521 b=6.208 c=6.408 alpha=90.00 beta=90.00 gamma=90.00
Fractional coordinates of all 8 atoms:
Al 0.500 0.205 0.000
Al 0.500 0.875 0.286
Al 0.000 0.136 0.242
Al 0.000 0.136 0.758
Al 0.000 0.765 0.500
Al 0.500 0.875 0.714
Pm 0.500 0.391 0.500
Ac 0.000 0.617 0.000

Summary:
- ΔH_f (0 K) (eV/f.u.) = -2.82
- symmetry = Pmm2
- N(E_F) (states/eV per atom) = 0.217
- volume (Å³/f.u.) = 180